<a>
Material: ZrScGa4
Method: DFT, PBE-GGA
State: optimized geometry

Cell lengths 5.2929, 5.2929, 5.2929 Å; angles 60.00, 60.00, 60.00 degrees
Fractional positions:
Zr1 0.0000 0.0000 0.0000
Sc1 0.7500 0.7500 0.7500
Ga1 0.3750 0.3750 0.3750
Ga2 0.3750 0.3750 0.8751
Ga3 0.3750 0.8751 0.3750
Ga4 0.8751 0.3750 0.3750

Space-group type = No. 216


<b>
Material: ZrScGa4
Method: DFT, PBE-GGA
State: optimized geometry

Cell lengths 4.1544, 5.1588, 10.5211 Å; angles 90.00, 90.00, 90.00 degrees
Fractional positions:
Zr1 0.0000 0.0000 0.0000
Zr2 0.5000 0.5000 0.0000
Sc1 0.0000 0.5000 0.5000
Sc2 0.5000 0.0000 0.5000
Ga1 0.0000 0.0000 0.3214
Ga2 0.0000 0.0000 0.6786
Ga3 0.0000 0.5000 0.1766
Ga4 0.0000 0.5000 0.8234
Ga5 0.5000 0.0000 0.1766
Ga6 0.5000 0.0000 0.8234
Ga7 0.5000 0.5000 0.3214
Ga8 0.5000 0.5000 0.6786

Space-group type = No. 65


<c>
Material: ZrScGa4
Method: DFT, PBE-GGA
State: optimized geometry

Cell lengths 4.3151, 6.5814, 7.5053 Å; angles 90.00, 90.00, 90.00 degrees
Fractional positions:
Zr1 0.0000 0.0000 0.0000
Zr2 0.5000 0.5000 0.5000
Sc1 0.0000 0.5000 0.0000
Sc2 0.5000 0.0000 0.5000
Ga1 0.0000 0.2440 0.3339
Ga2 0.0000 0.2440 0.6661
Ga3 0.0000 0.7560 0.3339
Ga4 0.0000 0.7560 0.6661
Ga5 0.5000 0.2560 0.1661
Ga6 0.5000 0.2560 0.8339
Ga7 0.5000 0.7440 0.1661
Ga8 0.5000 0.7440 0.8339

Space-group type = No. 71


Tell me which of them is the most stable. Sure, it is <c>.


<a>
Material: GaSe2
Method: DFT, PBE-GGA
State: optimized geometry

Cell lengths 3.9393, 6.2838, 7.2833 Å; angles 67.44, 81.70, 78.69 degrees
Fractional positions:
Ga1 0.0000 0.0000 0.0000
Ga2 0.3253 0.5836 0.7392
Se1 0.1466 0.9945 0.6752
Se2 0.4202 0.4944 0.4374
Se3 0.4667 0.8975 0.2341
Se4 0.8212 0.4157 0.9641

Space-group type = No. 1


<b>
Material: GaSe2
Method: DFT, PBE-GGA
State: optimized geometry

Cell lengths 4.7360, 6.2229, 5.4400 Å; angles 90.00, 107.08, 90.00 degrees
Fractional positions:
Ga1 0.0000 0.0000 0.0000
Ga2 0.5000 0.5000 0.0000
Se1 0.2456 0.1918 0.7326
Se2 0.2544 0.6918 0.2674
Se3 0.7456 0.6918 0.7326
Se4 0.7544 0.1918 0.2674

Space-group type = No. 5


<c>
Material: GaSe2
Method: DFT, PBE-GGA
State: optimized geometry

Cell lengths 7.5708, 7.4459, 5.3883 Å; angles 70.22, 67.74, 42.04 degrees
Fractional positions:
Ga1 0.0000 0.0000 0.5000
Ga2 0.5000 0.5000 0.0000
Se1 0.2111 0.5388 0.7889
Se2 0.3343 0.8866 0.1134
Se3 0.5388 0.2111 0.4612
Se4 0.8866 0.3343 0.6657

Space-group type = No. 42


Tell me which of them is the most stable. Sure, it is <a>.


<a>
Material: Sm2GaSe
Method: DFT, PBE-GGA
State: optimized geometry

Cell lengths 3.9764, 3.9764, 23.7023 Å; angles 90.00, 90.00, 120.00 degrees
Fractional positions:
Sm1 0.0000 0.0000 0.0000
Sm2 0.0000 0.0000 0.1781
Sm3 0.3333 0.6667 0.6667
Sm4 0.3333 0.6667 0.8447
Sm5 0.6667 0.3333 0.3333
Sm6 0.6667 0.3333 0.5114
Ga1 0.0000 0.0000 0.7563
Ga2 0.3333 0.6667 0.4230
Ga3 0.6667 0.3333 0.0896
Se1 0.0000 0.0000 0.5875
Se2 0.3333 0.6667 0.2542
Se3 0.6667 0.3333 0.9208

Space-group type = No. 160


<b>
Material: Sm2GaSe
Method: DFT, PBE-GGA
State: optimized geometry

Cell lengths 4.3365, 23.0043, 4.1234 Å; angles 90.00, 90.00, 90.00 degrees
Fractional positions:
Sm1 0.0000 0.0661 0.2500
Sm2 0.0000 0.3198 0.2500
Sm3 0.0000 0.6802 0.7500
Sm4 0.0000 0.9339 0.7500
Sm5 0.5000 0.1802 0.7500
Sm6 0.5000 0.4339 0.7500
Sm7 0.5000 0.5661 0.2500
Sm8 0.5000 0.8198 0.2500
Ga1 0.0000 0.4615 0.2500
Ga2 0.0000 0.5385 0.7500
Ga3 0.5000 0.0385 0.7500
Ga4 0.5000 0.9615 0.2500
Se1 0.0000 0.1921 0.2500
Se2 0.0000 0.8079 0.7500
Se3 0.5000 0.3079 0.7500
Se4 0.5000 0.6921 0.2500

Space-group type = No. 63


<c>
Material: Sm2GaSe
Method: DFT, PBE-GGA
State: optimized geometry

Cell lengths 4.0668, 4.0668, 22.2905 Å; angles 90.00, 90.00, 120.00 degrees
Fractional positions:
Sm1 0.0000 0.0000 0.2481
Sm2 0.0000 0.0000 0.7519
Sm3 0.3333 0.6667 0.4186
Sm4 0.3333 0.6667 0.9148
Sm5 0.6667 0.3333 0.0852
Sm6 0.6667 0.3333 0.5814
Ga1 0.0000 0.0000 0.0000
Ga2 0.3333 0.6667 0.6667
Ga3 0.6667 0.3333 0.3333
Se1 0.0000 0.0000 0.5000
Se2 0.3333 0.6667 0.1667
Se3 0.6667 0.3333 0.8333

Space-group type = No. 166


<d>
Material: Sm2GaSe
Method: DFT, PBE-GGA
State: optimized geometry

Cell lengths 4.0427, 5.9524, 8.8372 Å; angles 90.00, 90.00, 90.00 degrees
Fractional positions:
Sm1 0.2500 0.2500 0.1246
Sm2 0.2500 0.2500 0.6369
Sm3 0.7500 0.7500 0.3631
Sm4 0.7500 0.7500 0.8754
Ga1 0.2500 0.7500 0.6219
Ga2 0.7500 0.2500 0.3781
Se1 0.2500 0.7500 0.1188
Se2 0.7500 0.2500 0.8812

Space-group type = No. 59


Tell me which of them is the most stable. Sure, it is <b>.


<a>
Material: GaSn2Se
Method: DFT, PBE-GGA
State: optimized geometry

Cell lengths 7.2631, 7.2631, 7.2631 Å; angles 90.00, 90.00, 90.00 degrees
Fractional positions:
Ga1 0.0000 0.0000 0.0000
Ga2 0.0000 0.5000 0.5000
Ga3 0.5000 0.0000 0.5000
Ga4 0.5000 0.5000 0.0000
Sn1 0.2500 0.2500 0.2500
Sn2 0.2500 0.2500 0.7500
Sn3 0.2500 0.7500 0.2500
Sn4 0.2500 0.7500 0.7500
Sn5 0.7500 0.2500 0.2500
Sn6 0.7500 0.2500 0.7500
Sn7 0.7500 0.7500 0.2500
Sn8 0.7500 0.7500 0.7500
Se1 0.0000 0.0000 0.5000
Se2 0.0000 0.5000 0.0000
Se3 0.5000 0.0000 0.0000
Se4 0.5000 0.5000 0.5000

Space-group type = No. 225


<b>
Material: GaSn2Se
Method: DFT, PBE-GGA
State: optimized geometry

Cell lengths 3.5811, 3.5811, 29.7547 Å; angles 90.00, 90.00, 120.00 degrees
Fractional positions:
Ga1 0.0000 0.0000 0.0000
Ga2 0.3333 0.6667 0.6667
Ga3 0.6667 0.3333 0.3333
Sn1 0.0000 0.0000 0.0980
Sn2 0.0000 0.0000 0.9020
Sn3 0.3333 0.6667 0.5687
Sn4 0.3333 0.6667 0.7647
Sn5 0.6667 0.3333 0.2353
Sn6 0.6667 0.3333 0.4313
Se1 0.0000 0.0000 0.5000
Se2 0.3333 0.6667 0.1667
Se3 0.6667 0.3333 0.8333

Space-group type = No. 166


<c>
Material: GaSn2Se
Method: DFT, PBE-GGA
State: optimized geometry

Cell lengths 6.2977, 6.2977, 13.1821 Å; angles 90.00, 90.00, 90.00 degrees
Fractional positions:
Ga1 0.0000 0.0000 0.0000
Ga2 0.0000 0.5000 0.2500
Ga3 0.5000 0.0000 0.7500
Ga4 0.5000 0.5000 0.5000
Sn1 0.2299 0.2500 0.1250
Sn2 0.2500 0.7299 0.3750
Sn3 0.2500 0.7701 0.8750
Sn4 0.2701 0.2500 0.6250
Sn5 0.7299 0.7500 0.6250
Sn6 0.7500 0.2299 0.8750
Sn7 0.7500 0.2701 0.3750
Sn8 0.7701 0.7500 0.1250
Se1 0.0000 0.0000 0.5000
Se2 0.0000 0.5000 0.7500
Se3 0.5000 0.0000 0.2500
Se4 0.5000 0.5000 0.0000

Space-group type = No. 122


Tell me which of them is the most stable. Sure, it is <c>.


<a>
Material: GaSnSe
Method: DFT, PBE-GGA
State: optimized geometry

Cell lengths 3.8817, 3.8817, 5.6162 Å; angles 90.00, 90.00, 120.00 degrees
Fractional positions:
Ga1 0.0000 0.0000 0.0000
Sn1 0.6667 0.3333 0.3671
Se1 0.3333 0.6667 0.7254

Space-group type = No. 156


<b>
Material: GaSnSe
Method: DFT, PBE-GGA
State: optimized geometry

Cell lengths 3.8741, 4.6831, 8.6246 Å; angles 90.00, 90.41, 90.00 degrees
Fractional positions:
Ga1 0.2481 0.0000 0.3512
Ga2 0.7519 0.5000 0.6488
Sn1 0.2492 0.8430 0.0462
Sn2 0.7508 0.3430 0.9538
Se1 0.2517 0.8441 0.6276
Se2 0.7483 0.3441 0.3724

Space-group type = No. 4


<c>
Material: GaSnSe
Method: DFT, PBE-GGA
State: optimized geometry

Cell lengths 6.2664, 8.1424, 6.5437 Å; angles 90.00, 106.15, 90.00 degrees
Fractional positions:
Ga1 0.1661 0.1126 0.3032
Ga2 0.1661 0.3874 0.8032
Ga3 0.8339 0.6126 0.1968
Ga4 0.8339 0.8874 0.6968
Sn1 0.2099 0.7006 0.6600
Sn2 0.2099 0.7994 0.1600
Sn3 0.7901 0.2006 0.8400
Sn4 0.7901 0.2994 0.3400
Se1 0.3464 0.1331 0.7054
Se2 0.3464 0.3669 0.2054
Se3 0.6536 0.6331 0.7946
Se4 0.6536 0.8669 0.2946

Space-group type = No. 14


Tell me which of them is the most stable. Sure, it is <b>.


<a>
Material: SrGa3Se
Method: DFT, PBE-GGA
State: optimized geometry

Cell lengths 5.8143, 5.8143, 5.8143 Å; angles 90.00, 90.00, 90.00 degrees
Fractional positions:
Sr1 0.0000 0.0000 0.0000
Ga1 0.0000 0.0000 0.5000
Ga2 0.0000 0.5000 0.0000
Ga3 0.5000 0.0000 0.0000
Se1 0.5000 0.5000 0.5000

Space-group type = No. 221


<b>
Material: SrGa3Se
Method: DFT, PBE-GGA
State: optimized geometry

Cell lengths 5.3092, 5.3092, 5.3092 Å; angles 90.00, 90.00, 90.00 degrees
Fractional positions:
Sr1 0.0000 0.0000 0.0000
Ga1 0.0000 0.5000 0.5000
Ga2 0.5000 0.0000 0.5000
Ga3 0.5000 0.5000 0.0000
Se1 0.5000 0.5000 0.5000

Space-group type = No. 221


Tell me which of them is the most stable. Sure, it is <b>.